VASP calculation (PBE) on a geometry-optimized AgBiPO2 structure.

extended XYZ file:
```
5
Lattice="4.128 0.000 0.000 0.000 4.128 0.000 0.000 0.000 5.687" Properties=species:S:1:pos:R:3 pbc="T T T"
O 0.000 2.064 0.000
Ag 2.064 2.064 2.844
Bi 0.000 0.000 0.000
P 0.000 0.000 2.844
O 2.064 0.000 0.000
```

Properties
The total DFT energy (no corrections) is -21.366 eV/f.u. The value obtained for the formation energy (no corrections) is 3.2 kcal/mol of atoms. The energy above the most stable polymorph in this dataset comes out at 0.000 eV/atom.

=====

VASP calculation (PBE) on a geometry-optimized Ba2SBr2 structure.

extended XYZ file:
```
10
Lattice="-4.592 1.239 0.993 -1.478 -7.846 2.955 4.916 2.148 8.162" Properties=species:S:1:pos:R:3 pbc="T T T"
Ba -0.602 2.394 6.114
Ba 0.180 -2.968 4.533
Ba 1.736 -0.844 9.077
Br -0.036 -1.423 1.611
Br -1.307 -0.842 6.894
Ba -3.411 -6.378 4.074
Br -1.032 -2.573 10.324
S 1.998 1.567 7.282
Br -0.288 -5.953 6.096
S -2.669 -3.460 3.862
```

Properties
The total DFT energy (no corrections) is -21.581 eV/f.u. The value obtained for the formation energy (no corrections) is -47.3 kcal/mol of atoms.

=====

VASP calculation (PBE) on a geometry-optimized CaCuHCl2 structure.

extended XYZ file:
```
5
Lattice="-3.535 3.645 -1.461 0.256 -2.043 -5.718 -3.921 -3.388 1.035" Properties=species:S:1:pos:R:3 pbc="T T T"
Ca 0.000 0.000 0.000
Cu 0.128 -1.022 -2.859
Cl -1.960 -1.694 0.518
H -3.600 -0.893 -3.071
Cl -1.768 1.823 -0.730
```

Properties
The total DFT energy (no corrections) is -13.842 eV/f.u.

=====

| no. | total magnetization (μB per formula unit) |
| --- | --- |
| 1 | 0.00 |
| 2 | 0.00 |
| 3 | 1.32 |